[1]
VASP calculation (SCAN) on TcIr2Pb at its PBEsol-relaxed geometry.

Lattice parameters (Å, degrees): 4.005 4.005 4.857 114.35 114.35 90.00
Fractional positions:
Ir (0.750, 0.250, 0.500)
Ir (0.250, 0.750, 0.500)
Pb (0.000, 0.000, 0.000)
Tc (0.500, 0.500, 0.000)

## Properties
Total moment in μB/atom: 0.17
Volume in A^3/atom: 15.823
E_form in eV/atom: 0.49
Uncorrected energy in eV per atom: -62.77
Theoretical density in g/cm3: 18.094

=====

[2]
VASP calculation (SCAN) on Tc2IrPb at its PBEsol-relaxed geometry.

Lattice parameters (Å, degrees): 4.500 4.500 4.500 60.00 60.00 60.00
Fractional positions:
Ir (0.500, 0.500, 0.500)
Pb (0.250, 0.250, 0.250)
Tc (0.000, 0.000, 0.000)
Tc (0.750, 0.750, 0.750)

## Properties
Total moment in μB/atom: 0.72
Volume in A^3/atom: 16.110
E_form in eV/atom: 0.61
Uncorrected energy in eV per atom: -53.64
Theoretical density in g/cm3: 15.343

=====

[3]
VASP calculation (SCAN) on Tc2IrPb at its PBEsol-relaxed geometry.

Lattice parameters (Å, degrees): 2.886 4.952 4.952 115.18 90.00 90.00
Fractional positions:
Ir (0.500, 0.000, 0.000)
Pb (0.500, 0.500, 0.500)
Tc (0.000, 0.500, 0.000)
Tc (0.000, 0.000, 0.500)

## Properties
Total moment in μB/atom: 0.00
Volume in A^3/atom: 16.013
E_form in eV/atom: 0.68
Uncorrected energy in eV per atom: -53.57
Theoretical density in g/cm3: 15.436

=====

[4]
VASP calculation (SCAN) on Tc2IrPb at its PBEsol-relaxed geometry.

Lattice parameters (Å, degrees): 2.878 2.878 7.731 90.00 90.00 90.00
Fractional positions:
Ir (0.500, 0.500, 0.000)
Pb (0.500, 0.500, 0.500)
Tc (0.000, 0.000, 0.772)
Tc (0.000, 0.000, 0.228)

## Properties
Total moment in μB/atom: 0.00
Volume in A^3/atom: 16.009
E_form in eV/atom: 0.55
Uncorrected energy in eV per atom: -53.70
Theoretical density in g/cm3: 15.440

=====

[5]
VASP calculation (SCAN) on Tc3IrPb at its PBEsol-relaxed geometry.

Lattice parameters (Å, degrees): 4.754 4.754 4.754 90.00 90.00 90.00
Fractional positions:
Pb (0.000, 0.000, 0.000)
Ir (0.500, 0.500, 0.500)
Tc (0.000, 0.500, 0.000)
Tc (0.000, 0.000, 0.500)
Tc (0.500, 0.000, 0.000)

## Properties
Total moment in μB/atom: 0.00
Volume in A^3/atom: 21.493
E_form in eV/atom: 3.20
Uncorrected energy in eV per atom: -47.21
Theoretical density in g/cm3: 10.715

=====

[6]
VASP calculation (SCAN) on TcIrPb2 at its PBEsol-relaxed geometry.

Lattice parameters (Å, degrees): 4.691 4.691 4.691 60.00 60.00 60.00
Fractional positions:
Ir (0.000, 0.000, 0.000)
Pb (0.250, 0.250, 0.250)
Pb (0.750, 0.750, 0.750)
Tc (0.500, 0.500, 0.500)

## Properties
Total moment in μB/atom: 0.00
Volume in A^3/atom: 18.251
E_form in eV/atom: 0.73
Uncorrected energy in eV per atom: -63.70
Theoretical density in g/cm3: 16.027